[1]
PmAl4Cu2Ag: optimized geometry, GGA-PBE.

Cell and atoms, written as CIF:
```
data_PmAl4Cu2Ag
_cell_length_a 4.2401
_cell_length_b 4.2401
_cell_length_c 27.5337
_cell_angle_alpha 90.00
_cell_angle_beta 90.00
_cell_angle_gamma 120.00
_symmetry_space_group_name_H-M 'R -3 m'
_symmetry_Int_Tables_number 166
_symmetry_space_group_name_Hall '-R 3 2"'
loop_
_atom_site_label
_atom_site_type_symbol
_atom_site_fract_x
_atom_site_fract_y
_atom_site_fract_z
_atom_site_occupancy
Pm1 Pm 0.0000 0.0000 0.0000 1
Al1 Al 0.0000 0.0000 0.1212 1
Al2 Al 0.0000 0.0000 0.4027 1
Cu1 Cu 0.0000 0.0000 0.2409 1
Ag1 Ag 0.0000 0.0000 0.5000 1
```

## Properties
Spin magnetization (μB/cell): 0.00
ΔH_f (0 K) (meV/atom): -239


[2]
Ac8Te4P3C: optimized geometry, GGA-PBE.

Cell and atoms, written as CIF:
```
data_Ac8Te4P3C
_cell_length_a 8.9386
_cell_length_b 8.9386
_cell_length_c 23.1101
_cell_angle_alpha 90.00
_cell_angle_beta 90.00
_cell_angle_gamma 120.00
_symmetry_space_group_name_H-M 'R -3 m'
_symmetry_Int_Tables_number 166
_symmetry_space_group_name_Hall '-R 3 2"'
loop_
_atom_site_label
_atom_site_type_symbol
_atom_site_fract_x
_atom_site_fract_y
_atom_site_fract_z
_atom_site_occupancy
Ac1 Ac 0.0000 0.0000 0.2395 1
Ac2 Ac 0.0172 0.5086 0.2363 1
Te1 Te 0.0000 0.0000 0.0000 1
Te2 Te 0.0000 0.5000 0.0000 1
P1 P 0.0000 0.5000 0.5000 1
C1 C 0.0000 0.0000 0.5000 1
```

## Properties
Spin magnetization (μB/cell): 0.00
Raw formation energy (kJ per mole of atoms): -128.5


[3]
ScOsPb: optimized geometry, GGA-PBE.

Cell and atoms, written as CIF:
```
data_ScOsPb
_cell_length_a 3.2502
_cell_length_b 3.2502
_cell_length_c 11.7090
_cell_angle_alpha 90.00
_cell_angle_beta 90.00
_cell_angle_gamma 90.00
_symmetry_space_group_name_H-M 'I 4 m m'
_symmetry_Int_Tables_number 107
_symmetry_space_group_name_Hall 'I 4 -2'
loop_
_atom_site_label
_atom_site_type_symbol
_atom_site_fract_x
_atom_site_fract_y
_atom_site_fract_z
_atom_site_occupancy
Sc1 Sc 0.0000 0.0000 0.0000 1
Os1 Os 0.0000 0.0000 0.3701 1
Pb1 Pb 0.0000 0.0000 0.7148 1
```

## Properties
Spin magnetization (μB/cell): 0.00
ΔH_f (0 K) (meV/atom): 53
Offset from the most stable computed form (eV/atom): 0.000


[4]
CsHg4Te2: optimized geometry, GGA-PBE.

Cell and atoms, written as CIF:
```
data_CsHg4Te2
_cell_length_a 9.0865
_cell_length_b 4.8963
_cell_length_c 12.9547
_cell_angle_alpha 90.00
_cell_angle_beta 104.69
_cell_angle_gamma 90.00
_symmetry_space_group_name_H-M 'C 1 2/m 1'
_symmetry_Int_Tables_number 12
_symmetry_space_group_name_Hall '-C 2y'
loop_
_atom_site_label
_atom_site_type_symbol
_atom_site_fract_x
_atom_site_fract_y
_atom_site_fract_z
_atom_site_occupancy
Cs1 Cs 0.0000 0.0000 0.0000 1
Hg1 Hg 0.0696 0.5000 0.7626 1
Hg2 Hg 0.1417 0.0000 0.4431 1
Te1 Te 0.2446 0.5000 0.2174 1
```

## Properties
Spin magnetization (μB/cell): 0.00
Raw formation energy (kJ per mole of atoms): -21.1


[5]
YFeTc4: optimized geometry, GGA-PBE.

Cell and atoms, written as CIF:
```
data_YFeTc4
_cell_length_a 7.4179
_cell_length_b 7.4179
_cell_length_c 7.4179
_cell_angle_alpha 90.00
_cell_angle_beta 90.00
_cell_angle_gamma 90.00
_symmetry_space_group_name_H-M 'F -4 3 m'
_symmetry_Int_Tables_number 216
_symmetry_space_group_name_Hall 'F -4 2 3'
loop_
_atom_site_label
_atom_site_type_symbol
_atom_site_fract_x
_atom_site_fract_y
_atom_site_fract_z
_atom_site_occupancy
Y1 Y 0.0000 0.0000 0.0000 1
Fe1 Fe 0.2500 0.2500 0.7500 1
Tc1 Tc 0.1243 0.1243 0.3757 1
```

## Properties
Spin magnetization (μB/cell): 12.41
ΔH_f (0 K) (meV/atom): 220


[6]
Tl2PbS8: optimized geometry, GGA-PBE.

Cell and atoms, written as CIF:
```
data_Tl2PbS8
_cell_length_a 14.9253
_cell_length_b 5.2177
_cell_length_c 8.8976
_cell_angle_alpha 90.00
_cell_angle_beta 103.54
_cell_angle_gamma 90.00
_symmetry_space_group_name_H-M 'C 1 2/m 1'
_symmetry_Int_Tables_number 12
_symmetry_space_group_name_Hall '-C 2y'
loop_
_atom_site_label
_atom_site_type_symbol
_atom_site_fract_x
_atom_site_fract_y
_atom_site_fract_z
_atom_site_occupancy
Tl1 Tl 0.2010 0.0000 0.3541 1
Pb1 Pb 0.0000 0.5000 0.5000 1
S1 S 0.0029 0.0000 0.8937 1
S2 S 0.1278 0.3068 0.7838 1
S3 S 0.1634 0.5000 0.3527 1
```

## Properties
Spin magnetization (μB/cell): 0.00
Raw formation energy (kJ per mole of atoms): 9.8


[7]
CsCrCo2: optimized geometry, GGA-PBE.

Cell and atoms, written as CIF:
```
data_CsCrCo2
_cell_length_a 6.5625
_cell_length_b 6.5625
_cell_length_c 6.5625
_cell_angle_alpha 90.00
_cell_angle_beta 90.00
_cell_angle_gamma 90.00
_symmetry_space_group_name_H-M 'F m -3 m'
_symmetry_Int_Tables_number 225
_symmetry_space_group_name_Hall '-F 4 2 3'
loop_
_atom_site_label
_atom_site_type_symbol
_atom_site_fract_x
_atom_site_fract_y
_atom_site_fract_z
_atom_site_occupancy
Cs1 Cs 0.0000 0.0000 0.0000 1
Cr1 Cr 0.0000 0.0000 0.5000 1
Co1 Co 0.2500 0.2500 0.2500 1
```

## Properties
Spin magnetization (μB/cell): 24.37
ΔH_f (0 K) (meV/atom): 1707


[8]
Na2NdInS4: optimized geometry, GGA-PBE.

Cell and atoms, written as CIF:
```
data_Na2NdInS4
_cell_length_a 6.8889
_cell_length_b 3.9926
_cell_length_c 7.1574
_cell_angle_alpha 90.00
_cell_angle_beta 109.10
_cell_angle_gamma 90.00
_symmetry_space_group_name_H-M 'P 1 2/m 1'
_symmetry_Int_Tables_number 10
_symmetry_space_group_name_Hall '-P 2y'
loop_
_atom_site_label
_atom_site_type_symbol
_atom_site_fract_x
_atom_site_fract_y
_atom_site_fract_z
_atom_site_occupancy
Na1 Na 0.0000 0.0000 0.0000 1
Na2 Na 0.5000 0.5000 0.0000 1
Nd1 Nd 0.0000 0.5000 0.5000 1
In1 In 0.5000 0.0000 0.5000 1
S1 S 0.2537 0.0000 0.7345 1
S2 S 0.2758 0.5000 0.2768 1
```

## Properties
Spin magnetization (μB/cell): 0.00
Raw formation energy (kJ per mole of atoms): -124.6


[9]
La2NdAl4: optimized geometry, GGA-PBE.

Cell and atoms, written as CIF:
```
data_La2NdAl4
_cell_length_a 3.7772
_cell_length_b 4.6109
_cell_length_c 20.6711
_cell_angle_alpha 90.00
_cell_angle_beta 90.00
_cell_angle_gamma 90.00
_symmetry_space_group_name_H-M 'I m m m'
_symmetry_Int_Tables_number 71
_symmetry_space_group_name_Hall '-I 2 2'
loop_
_atom_site_label
_atom_site_type_symbol
_atom_site_fract_x
_atom_site_fract_y
_atom_site_fract_z
_atom_site_occupancy
La1 La 0.0000 0.0000 0.1923 1
Nd1 Nd 0.0000 0.5000 0.0000 1
Al1 Al 0.0000 0.0000 0.3669 1
Al2 Al 0.0000 0.5000 0.4357 1
```

## Properties
Spin magnetization (μB/cell): 0.88
ΔH_f (0 K) (meV/atom): -396


[10]
Sn2H2Au: optimized geometry, GGA-PBE.

Cell and atoms, written as CIF:
```
data_Sn2H2Au
_cell_length_a 7.2420
_cell_length_b 4.1707
_cell_length_c 5.8803
_cell_angle_alpha 90.00
_cell_angle_beta 90.56
_cell_angle_gamma 90.00
_symmetry_space_group_name_H-M 'C 1 2/m 1'
_symmetry_Int_Tables_number 12
_symmetry_space_group_name_Hall '-C 2y'
loop_
_atom_site_label
_atom_site_type_symbol
_atom_site_fract_x
_atom_site_fract_y
_atom_site_fract_z
_atom_site_occupancy
Sn1 Sn 0.1645 0.0000 0.2610 1
H1 H 0.1653 0.0000 0.9531 1
Au1 Au 0.0000 0.5000 0.5000 1
```

## Properties
Spin magnetization (μB/cell): 0.00
Offset from the most stable computed form (eV/atom): 0.000